Here is a relaxed structure of HfCdWO6 from Alexandria. Energies are from PBE with a Hubbard U.

The crystal system is tetragonal. The density of states at the Fermi level comes out at 0.00 states/eV/atom. As for the total energy: -0.280 Ha/atom. The mass density comes out at 8.08 g/cm³.

The space group is P4_2nm (No. 102) and the conventional cell measures 4.9357, 4.9357 and 9.6285 Å, with angles of 90.00, 90.00 and 90.00 degrees. The asymmetric unit holds Hf at (0.0000, 0.0000, 0.0000), Cd at (0.0000, 0.0000, 0.3294), W at (0.0000, 0.0000, 0.6635), O at (0.1773, 0.1773, 0.8224), O at (0.2042, 0.2042, 0.5250) and O at (0.2211, 0.2211, 0.1468).